Compound: BaNd2S4
Source: the Alexandria database
Functional: GGA-PBE
Structure: optimized geometry

Summary:
Crystal system: tetragonal
Offset from the most stable computed form, meV/atom: 57
N(E_F), states/eV per atom: 0.00

Cell: 7.688 7.688 7.688 Å, 109.51 109.51 109.39°
Sites, in units of the cell vectors:
S1 0.011 0.266 0.408
S2 0.392 0.484 0.245
S3 0.852 0.608 0.092
S4 0.858 0.602 0.592
S5 0.239 0.148 0.755
S6 0.734 0.142 0.745
S7 0.516 0.761 0.908
S8 0.398 0.989 0.255
Nd1 0.625 0.256 0.131
Nd2 0.125 0.494 0.869
Nd3 0.744 0.875 0.369
Nd4 0.506 0.375 0.631
Ba1 0.250 0.750 0.500
Ba2 0.000 0.000 0.000

***

Compound: BaNdS2
Source: the Alexandria database
Functional: GGA-PBE
Structure: optimized geometry

Summary:
Crystal system: trigonal
Offset from the most stable computed form, meV/atom: 0
N(E_F), states/eV per atom: 0.43

Cell: 4.228 4.228 7.600 Å, 73.85 73.85 60.00°
Sites, in units of the cell vectors:
S1 0.260 0.260 0.221
S2 0.740 0.740 0.779
Ba1 0.500 0.500 0.500
Nd1 0.000 0.000 0.000

***

Compound: BaNdScS4
Source: the Alexandria database
Functional: GGA-PBE
Structure: optimized geometry

Summary:
Uncorrected energy, eV per atom: -6.101
Crystal system: orthorhombic

Cell: 6.843 6.954 8.298 Å, 90.00 114.35 90.00°
Sites, in units of the cell vectors:
S1 0.500 0.000 0.500
S2 0.000 0.500 0.500
S3 0.500 0.500 0.500
S4 0.064 0.750 0.129
S5 0.413 0.750 0.826
S6 0.587 0.250 0.174
S7 0.000 0.000 0.500
S8 0.936 0.250 0.871
Nd1 0.119 0.250 0.237
Nd2 0.881 0.750 0.763
Sc1 0.752 0.250 0.505
Sc2 0.248 0.750 0.495
Ba1 0.606 0.750 0.213
Ba2 0.394 0.250 0.787

***

Compound: Ba2NdSmS4
Source: the Alexandria database
Functional: GGA-PBE
Structure: optimized geometry

Summary:
Uncorrected energy, eV per atom: -5.751
Crystal system: monoclinic
N(E_F), states/eV per atom: 0.46

Cell: 4.217 7.287 7.574 Å, 108.79 90.00 90.00°
Sites, in units of the cell vectors:
S1 0.500 0.237 0.217
S2 0.500 0.763 0.783
S3 0.000 0.257 0.781
S4 0.000 0.743 0.219
Sm1 0.000 0.000 0.000
Ba1 0.000 0.500 0.500
Ba2 0.500 0.000 0.500
Nd1 0.500 0.500 0.000

***

Compound: Ba2NdSnS5
Source: the Alexandria database
Functional: GGA-PBE
Structure: optimized geometry

Summary:
Uncorrected energy, eV per atom: -5.300
Crystal system: orthorhombic
N(E_F), states/eV per atom: 0.16

Cell: 4.441 9.369 12.816 Å, 90.00 90.00 103.71°
Sites, in units of the cell vectors:
Ba1 0.131 0.262 0.312
Ba2 0.113 0.226 0.683
Ba3 0.887 0.774 0.183
Ba4 0.869 0.738 0.812
S1 0.496 0.991 0.773
S2 0.288 0.576 0.660
S3 0.712 0.424 0.160
S4 0.681 0.362 0.874
S5 0.362 0.725 0.001
S6 0.319 0.638 0.374
S7 0.638 0.275 0.501
S8 0.950 0.900 0.548
S9 0.504 0.009 0.273
S10 0.050 0.100 0.048
Nd1 0.213 0.426 0.019
Nd2 0.787 0.574 0.519
Sn1 0.454 0.908 0.453
Sn2 0.546 0.092 0.953

***

Compound: BaNdSn2S6
Source: the Alexandria database
Functional: GGA-PBE
Structure: optimized geometry

Summary:
Uncorrected energy, eV per atom: -5.127
Crystal system: orthorhombic
N(E_F), states/eV per atom: 0.02

Cell: 4.044 12.084 20.289 Å, 90.00 90.00 90.00°
Sites, in units of the cell vectors:
S1 0.000 0.205 0.769
S2 0.000 0.356 0.523
S3 0.000 0.005 0.877
S4 0.000 0.039 0.627
S5 0.500 0.056 0.014
S6 0.000 0.856 0.477
S7 0.000 0.793 0.043
S8 0.500 0.096 0.494
S9 0.000 0.705 0.231
S10 0.000 0.734 0.636
S11 0.500 0.881 0.740
S12 0.000 0.665 0.841
S13 0.000 0.165 0.159
S14 0.000 0.293 0.957
S15 0.000 0.953 0.319
S16 0.000 0.539 0.373
S17 0.000 0.453 0.681
S18 0.000 0.234 0.364
S19 0.500 0.596 0.506
S20 0.500 0.381 0.260
S21 0.500 0.919 0.165
S22 0.500 0.556 0.986
S23 0.000 0.505 0.123
S24 0.500 0.419 0.835
Ba1 0.500 0.255 0.635
Ba2 0.500 0.755 0.365
Ba3 0.500 0.817 0.922
Ba4 0.500 0.317 0.078
Sn1 0.000 0.003 0.750
Sn2 0.000 0.552 0.575
Sn3 0.000 0.052 0.425
Sn4 0.500 0.095 0.252
Sn5 0.000 0.992 0.090
Sn6 0.000 0.503 0.250
Sn7 0.000 0.492 0.910
Sn8 0.500 0.595 0.748
Nd1 0.500 0.182 0.878
Nd2 0.500 0.878 0.581
Nd3 0.500 0.378 0.419
Nd4 0.500 0.682 0.122

***

Compound: BaTb4NdS8
Source: the Alexandria database
Functional: GGA-PBE
Structure: optimized geometry

Summary:
Uncorrected energy, eV per atom: -6.125
Crystal system: trigonal
N(E_F), states/eV per atom: 0.27

Cell: 8.279 8.279 8.355 Å, 60.30 60.30 60.00°
Sites, in units of the cell vectors:
Nd1 0.002 0.002 0.995
Ba1 0.373 0.373 0.880
Tb1 0.002 0.495 0.502
Tb2 0.625 0.625 0.124
Tb3 0.495 0.002 0.502
Tb4 0.002 0.002 0.502
S1 0.231 0.753 0.263
S2 0.753 0.753 0.263
S3 0.757 0.757 0.728
S4 0.801 0.237 0.724
S5 0.237 0.237 0.724
S6 0.237 0.801 0.724
S7 0.232 0.232 0.305
S8 0.753 0.231 0.263

***

Compound: BaNdTe2S6
Source: the Alexandria database
Functional: GGA-PBE
Structure: optimized geometry

Summary:
Uncorrected energy, eV per atom: -4.613
Crystal system: triclinic
N(E_F), states/eV per atom: 0.12

Cell: 6.776 7.283 7.931 Å, 93.61 115.21 118.89°
Sites, in units of the cell vectors:
Te1 0.579 0.290 0.875
Te2 0.574 0.765 0.343
S1 0.793 0.706 0.194
S2 0.678 0.575 0.674
S3 0.561 0.995 0.691
S4 0.504 0.067 0.133
S5 0.117 0.156 0.702
S6 0.133 0.425 0.174
Nd1 0.002 0.992 0.986
Ba1 0.025 0.507 0.532

***

Compound: Ba2NdThS6
Source: the Alexandria database
Functional: GGA-PBE
Structure: optimized geometry

Summary:
Uncorrected energy, eV per atom: -5.933
Crystal system: monoclinic
N(E_F), states/eV per atom: 1.55

Cell: 7.391 7.772 10.604 Å, 90.00 90.68 90.00°
Sites, in units of the cell vectors:
Ba1 0.525 0.569 0.748
Ba2 0.975 0.069 0.752
Ba3 0.025 0.931 0.248
Ba4 0.475 0.431 0.252
S1 0.892 0.536 0.252
S2 0.702 0.300 0.555
S3 0.202 0.200 0.055
S4 0.798 0.800 0.945
S5 0.698 0.292 0.942
S6 0.198 0.208 0.442
S7 0.802 0.792 0.558
S8 0.608 0.036 0.248
S9 0.392 0.964 0.752
S10 0.108 0.464 0.748
S11 0.302 0.708 0.058
S12 0.298 0.700 0.445
Th1 0.000 0.500 0.500
Th2 0.500 0.000 0.000
Nd1 0.000 0.500 0.000
Nd2 0.500 0.000 0.500

***

Compound: Ba2NdTlS4
Source: the Alexandria database
Functional: GGA-PBE
Structure: optimized geometry

Summary:
Uncorrected energy, eV per atom: -5.125
Crystal system: monoclinic

Cell: 4.410 7.486 7.815 Å, 71.02 90.00 90.00°
Sites, in units of the cell vectors:
Nd1 0.000 0.500 0.500
Tl1 0.500 0.500 0.000
S1 0.500 0.727 0.276
S2 0.500 0.273 0.724
S3 0.000 0.264 0.276
S4 0.000 0.736 0.724
Ba1 0.500 0.000 0.500
Ba2 0.000 0.000 0.000

***

Compound: Ba2NdTlS5
Source: the Alexandria database
Functional: GGA-PBE
Structure: optimized geometry

Summary:
Uncorrected energy, eV per atom: -5.078
Crystal system: orthorhombic

Cell: 4.232 9.504 13.047 Å, 90.00 90.00 102.87°
Sites, in units of the cell vectors:
S1 0.506 0.012 0.270
S2 0.684 0.368 0.870
S3 0.290 0.579 0.660
S4 0.316 0.632 0.370
S5 0.494 0.988 0.770
S6 0.710 0.421 0.160
S7 0.359 0.718 0.002
S8 0.050 0.100 0.060
S9 0.641 0.282 0.502
S10 0.950 0.900 0.560
Ba1 0.116 0.233 0.685
Ba2 0.884 0.767 0.185
Ba3 0.134 0.268 0.313
Ba4 0.866 0.732 0.813
Tl1 0.456 0.913 0.447
Tl2 0.544 0.087 0.947
Nd1 0.212 0.424 0.016
Nd2 0.788 0.576 0.516

***

Compound: BaNdTm4S8
Source: the Alexandria database
Functional: GGA-PBE
Structure: optimized geometry

Summary:
Uncorrected energy, eV per atom: -6.058
Crystal system: trigonal
N(E_F), states/eV per atom: 0.27

Cell: 8.148 8.148 8.276 Å, 60.51 60.51 60.00°
Sites, in units of the cell vectors:
S1 0.757 0.757 0.728
S2 0.233 0.750 0.267
S3 0.240 0.240 0.718
S4 0.750 0.750 0.267
S5 0.230 0.230 0.309
S6 0.750 0.233 0.267
S7 0.240 0.803 0.718
S8 0.803 0.240 0.718
Nd1 0.002 0.002 0.994
Tm1 0.495 0.002 0.502
Tm2 0.625 0.625 0.124
Tm3 0.002 0.495 0.502
Tm4 0.002 0.002 0.502
Ba1 0.372 0.372 0.884

***

Compound: Ba2NdUS6
Source: the Alexandria database
Functional: GGA-PBE
Structure: optimized geometry

Summary:
Uncorrected energy, eV per atom: -6.328
Crystal system: monoclinic
N(E_F), states/eV per atom: 0.06

Cell: 7.277 7.587 10.462 Å, 90.00 90.16 90.00°
Site moments in Bohr magnetons follow the coordinates.
Sites, in units of the cell vectors:
S1 0.191 0.213 0.050  -0.03
S2 0.908 0.525 0.240  -0.03
S3 0.711 0.306 0.953  -0.03
S4 0.809 0.787 0.950  -0.03
S5 0.092 0.475 0.760  -0.03
S6 0.408 0.975 0.740  -0.03
S7 0.691 0.287 0.550  -0.03
S8 0.211 0.194 0.453  -0.03
S9 0.289 0.694 0.047  -0.03
S10 0.789 0.806 0.547  -0.03
S11 0.592 0.025 0.260  -0.03
S12 0.309 0.713 0.450  -0.03
Ba1 0.481 0.436 0.250  0.00
Ba2 0.019 0.936 0.250  0.00
Ba3 0.981 0.064 0.750  0.00
Ba4 0.519 0.564 0.750  0.00
Nd1 0.500 0.000 0.000  -0.01
Nd2 0.000 0.500 0.500  -0.01
U1 0.500 0.000 0.500  1.21
U2 0.000 0.500 0.000  1.21

***

Compound: Ba3Nd3YS8
Source: the Alexandria database
Functional: GGA-PBE
Structure: optimized geometry

Summary:
Uncorrected energy, eV per atom: -6.030
Crystal system: monoclinic
N(E_F), states/eV per atom: 0.24

Cell: 8.323 8.317 8.733 Å, 118.42 90.01 119.99°
Sites, in units of the cell vectors:
Ba1 0.000 0.500 0.000
Ba2 0.000 0.000 0.000
Ba3 0.500 0.500 0.000
Nd1 0.000 0.500 0.500
Nd2 0.500 0.500 0.500
Nd3 0.500 0.000 0.500
S1 0.253 0.021 0.289
S2 0.747 0.979 0.711
S3 0.768 0.536 0.289
S4 0.740 0.481 0.721
S5 0.232 0.464 0.711
S6 0.260 0.519 0.279
S7 0.232 0.979 0.711
S8 0.768 0.021 0.289
Y1 0.000 0.000 0.500

***

Compound: Ba2NdYS4
Source: the Alexandria database
Functional: GGA-PBE
Structure: optimized geometry

Summary:
Uncorrected energy, eV per atom: -5.963
Crystal system: monoclinic
N(E_F), states/eV per atom: 0.46

Cell: 4.186 7.240 7.549 Å, 108.68 90.00 90.00°
Sites, in units of the cell vectors:
S1 0.000 0.254 0.784
S2 0.500 0.231 0.213
S3 0.500 0.769 0.787
S4 0.000 0.746 0.216
Nd1 0.500 0.500 0.000
Ba1 0.000 0.500 0.500
Ba2 0.500 0.000 0.500
Y1 0.000 0.000 0.000

***

Compound: BaNd2ZnS5
Source: the Alexandria database
Functional: GGA-PBE
Structure: optimized geometry

Summary:
Uncorrected energy, eV per atom: -5.494
Crystal system: tetragonal

Cell: 8.851 8.851 8.851 Å, 126.90 126.90 78.41°
Sites, in units of the cell vectors:
S1 0.000 0.000 0.000
S2 0.218 0.015 0.500
S3 0.282 0.782 0.797
S4 0.015 0.515 0.797
S5 0.718 0.218 0.203
S6 0.500 0.500 0.000
S7 0.985 0.485 0.203
S8 0.782 0.985 0.500
S9 0.485 0.282 0.500
S10 0.515 0.718 0.500
Ba1 0.750 0.750 0.000
Ba2 0.250 0.250 0.000
Nd1 0.162 0.338 0.500
Nd2 0.338 0.838 0.176
Nd3 0.838 0.662 0.500
Nd4 0.662 0.162 0.824
Zn1 0.250 0.750 0.500
Zn2 0.750 0.250 0.500

***

Compound: Ba2NdScSe5
Source: the Alexandria database
Functional: GGA-PBE
Structure: optimized geometry

Summary:
Uncorrected energy, eV per atom: -5.507
Crystal system: orthorhombic
N(E_F), states/eV per atom: 0.00

Cell: 4.452 9.301 13.850 Å, 90.00 90.00 103.85°
Sites, in units of the cell vectors:
Se1 0.510 0.020 0.274
Se2 0.376 0.751 0.999
Se3 0.624 0.249 0.499
Se4 0.951 0.902 0.547
Se5 0.717 0.433 0.159
Se6 0.490 0.980 0.774
Se7 0.676 0.351 0.879
Se8 0.324 0.649 0.379
Se9 0.049 0.098 0.047
Se10 0.283 0.567 0.659
Ba1 0.894 0.788 0.188
Ba2 0.860 0.719 0.808
Ba3 0.106 0.212 0.688
Ba4 0.140 0.281 0.308
Nd1 0.213 0.426 0.017
Nd2 0.787 0.574 0.517
Sc1 0.528 0.057 0.951
Sc2 0.472 0.943 0.451

***

Compound: Ba3Nd3ScTe8
Source: the Alexandria database
Functional: GGA-PBE
Structure: optimized geometry

Summary:
Uncorrected energy, eV per atom: -4.959
Crystal system: trigonal
N(E_F), states/eV per atom: 0.31

Cell: 9.127 9.125 9.626 Å, 118.26 90.00 120.01°
Sites, in units of the cell vectors:
Te1 0.770 0.540 0.288
Te2 0.753 0.983 0.713
Te3 0.258 0.516 0.274
Te4 0.770 0.017 0.287
Te5 0.247 0.017 0.287
Te6 0.230 0.983 0.713
Te7 0.742 0.484 0.726
Te8 0.230 0.460 0.712
Nd1 0.500 0.000 0.500
Nd2 0.000 0.500 0.500
Nd3 0.500 0.500 0.500
Sc1 0.000 0.000 0.500
Ba1 0.000 0.000 0.000
Ba2 0.500 0.500 0.000
Ba3 0.000 0.500 0.000

***

no.,magnetization (μB per formula unit)
1,0.00
2,0.00
3,0.00
4,0.00
5,0.00
6,0.00
7,0.00
8,0.00
9,0.17
10,0.00
11,0.00
12,0.00
13,1.00
14,0.00
15,0.00
16,0.00
17,0.00
18,0.00